1.
LiNb2P3O12 after structural relaxation. Source: Alexandria, functional PBE.

Calculated values
* energy above the most stable polymorph in this dataset: 7 meV/atom
* magnetic moment: 4.001 μB per cell
* E_form (uncorrected): -4011 kJ/mol of formula units
* crystal system: triclinic

Cell: 8.7619 8.7887 9.1183 Å, 90.95 118.28 119.04°
Space group P-1 (No. 2)
Unique sites:
Li 0.1465 0.1918 0.3928
Nb 0.2883 0.6434 0.4318
Nb 0.2977 0.1404 0.9337
P 0.2114 0.7428 0.7555
P 0.2201 0.9754 0.2531
P 0.4877 0.4571 0.7424
O 0.0114 0.9347 0.2198
O 0.0263 0.5548 0.7216
O 0.1536 0.8857 0.7481
O 0.2271 0.9951 0.0884
O 0.2516 0.8235 0.3047
O 0.2558 0.7343 0.6111
O 0.3263 0.4519 0.5619
O 0.3457 0.5470 0.2731
O 0.3593 0.2775 0.7716
O 0.3850 0.1626 0.4049
O 0.4026 0.3742 0.1061
O 0.4073 0.8028 0.9366


2.
LiNb2P3O12 after structural relaxation. Source: Alexandria, functional PBE.

Calculated values
* energy above the most stable polymorph in this dataset: 6 meV/atom
* magnetic moment: 8.002 μB per cell
* E_form (uncorrected): -4012 kJ/mol of formula units
* crystal system: monoclinic

Cell: 15.4424 8.8982 8.8778 Å, 90.00 124.96 90.00°
Space group Cc (No. 9)
Unique sites:
Li 0.0000 0.1929 0.0000
Nb 0.1732 0.2515 0.4051
Nb 0.3903 0.2465 0.0548
P 0.1351 0.1052 0.7288
P 0.2829 0.4599 0.2336
P 0.4253 0.1089 0.7233
O 0.0134 0.3148 0.2159
O 0.0441 0.1764 0.7291
O 0.1204 0.0687 0.2189
O 0.1296 0.1508 0.5551
O 0.2023 0.3592 0.2356
O 0.2220 0.4444 0.5585
O 0.2407 0.1560 0.9026
O 0.3198 0.1627 0.5508
O 0.3442 0.4400 0.9076
O 0.3681 0.3577 0.2436
O 0.4332 0.1507 0.8988
O 0.4361 0.0635 0.2222


3.
Li2NbP4O13 after structural relaxation. Source: Alexandria, functional PBE.

Calculated values
* magnetic moment: 2.000 μB per cell
* E_form (uncorrected): -4304 kJ/mol of formula units
* crystal system: triclinic

Cell: 5.3463 8.1554 13.5812 Å, 73.61 86.17 79.67°
Space group P-1 (No. 2)
Unique sites:
Li 0.0148 0.2946 0.0053
Li 0.4582 0.6738 0.4929
Nb 0.0236 0.9700 0.2441
P 0.1388 0.3749 0.1934
P 0.1736 0.4171 0.6792
P 0.4181 0.1650 0.8682
P 0.4626 0.1202 0.3503
O 0.0126 0.7062 0.3180
O 0.0185 0.2382 0.1627
O 0.0258 0.5868 0.7085
O 0.1577 0.5330 0.1084
O 0.2521 0.9502 0.6653
O 0.2541 0.0372 0.8525
O 0.2960 0.9056 0.1465
O 0.3037 0.9828 0.3432
O 0.3098 0.4763 0.5792
O 0.3551 0.2220 0.9629
O 0.3764 0.3347 0.7673
O 0.4058 0.2822 0.2440
O 0.4095 0.1912 0.4402


4.
LiNbPO5 after structural relaxation. Source: Alexandria, functional PBE.

Calculated values
* energy above the most stable polymorph in this dataset: 13 meV/atom
* magnetic moment: 8.004 μB per cell
* E_form (uncorrected): -1792 kJ/mol of formula units
* crystal system: monoclinic

Cell: 14.6028 5.4407 10.8474 Å, 90.00 113.72 90.00°
Space group C2 (No. 5)
Unique sites:
Li 0.0535 0.0000 0.2721
Li 0.1784 0.6667 0.7695
Nb 0.0000 0.8496 0.0000
Nb 0.0000 0.9739 0.5000
Nb 0.2502 0.1618 0.7455
P 0.1298 0.3541 0.9579
P 0.1297 0.4757 0.4571
O 0.0598 0.1246 0.9181
O 0.0632 0.2416 0.4094
O 0.0642 0.7115 0.4150
O 0.0648 0.5894 0.9185
O 0.1204 0.9735 0.6697
O 0.1221 0.8300 0.1709
O 0.1840 0.4617 0.6139
O 0.1944 0.3551 0.8745
O 0.1971 0.3579 0.1115
O 0.2048 0.4791 0.3910